Entry from Alexandria via LeMat-Bulk: an optimized crystal structure of Ac12Pr2Nd5 (PBE).

Geometry as CIF:
```
data_Ac12Pr2Nd5
_symmetry_space_group_name_H-M 'P 1'
_symmetry_Int_Tables_number 1
_symmetry_space_group_name_Hall 'P 1'
_cell_length_a 11.826
_cell_length_b 9.569
_cell_length_c 9.162
_cell_angle_alpha 83.00
_cell_angle_beta 90.00
_cell_angle_gamma 128.17
loop_
_atom_site_label
_atom_site_type_symbol
_atom_site_fract_x
_atom_site_fract_y
_atom_site_fract_z
Nd1 Nd 0.357 0.713 0.122
Nd2 Nd 0.000 0.000 0.500
Ac1 Ac 0.385 0.358 0.197
Nd3 Nd 0.231 0.462 0.481
Ac2 Ac 0.159 0.782 0.387
Nd4 Nd 0.643 0.287 0.878
Pr1 Pr 0.279 0.000 0.000
Ac3 Ac 0.577 0.154 0.286
Ac4 Ac 0.866 0.733 0.124
Ac5 Ac 0.026 0.642 0.803
Ac6 Ac 0.377 0.218 0.613
Nd5 Nd 0.769 0.538 0.519
Ac7 Ac 0.841 0.218 0.613
Ac8 Ac 0.974 0.358 0.197
Ac9 Ac 0.615 0.642 0.803
Ac10 Ac 0.623 0.782 0.387
Ac11 Ac 0.423 0.846 0.714
Pr2 Pr 0.721 0.000 0.000
Ac12 Ac 0.134 0.267 0.876
```

Output
E_form (eV/atom): 0.120
Space-group type: C2/m